No. 1
Er4AlZn | the Alexandria database | GGA-PBE | relaxed; symmetry = P4/mmm, No. 123; final energy = -24.66 eV per cell; energy of formation from the pure elements = -232 meV/atom
1.0
3.503 0.000 0.000
0.000 3.503 0.000
0.000 0.000 12.512
Er Al Zn
4 1 1
Cartesian
0.000 0.000 1.768
0.000 0.000 10.744
1.751 1.751 4.353
1.751 1.751 8.159
0.000 0.000 6.256
1.751 1.751 0.000

=====

No. 2
Er8AlZn2 | the Alexandria database | GGA-PBE | relaxed; symmetry = Immm, No. 71; final energy = -43.94 eV per cell; energy of formation from the pure elements = -104 meV/atom
1.0
-2.441 4.105 7.186
2.441 -4.105 7.186
2.441 4.105 -7.186
Er Al Zn
8 1 2
Cartesian
2.441 2.302 -2.333
0.000 0.000 1.972
0.000 2.563 0.000
2.441 2.302 2.333
0.000 1.803 4.853
0.000 5.646 0.000
0.000 0.000 12.400
0.000 1.803 9.519
2.441 0.000 0.000
2.441 0.000 4.374
0.000 4.105 2.812

=====

No. 3
ErAlZn5 | the Alexandria database | GGA-PBE | relaxed; symmetry = Pnma, No. 62; final energy = -64.85 eV per cell; energy of formation from the pure elements = -220 meV/atom
1.0
8.628 0.000 0.000
0.000 5.142 0.000
0.000 0.000 10.542
Er Al Zn
4 4 20
Cartesian
2.075 1.286 0.663
2.239 3.857 5.934
6.389 1.286 4.609
6.552 3.857 9.880
1.240 3.857 9.013
3.074 1.286 3.742
5.553 3.857 6.800
7.388 1.286 1.529
0.397 3.857 0.932
0.544 0.049 3.226
0.544 2.522 3.226
0.730 1.286 5.483
1.716 1.286 7.907
2.598 3.857 2.636
3.584 3.857 0.212
3.770 2.620 8.497
3.770 5.093 8.497
3.917 1.286 6.203
4.711 3.857 4.339
4.857 0.049 2.045
4.857 2.522 2.045
5.044 1.286 10.330
6.030 1.286 7.906
6.912 3.857 2.635
7.898 3.857 5.059
8.084 2.620 7.316
8.084 5.093 7.316
8.231 1.286 9.610

=====

No. 4
ErAl3Zn | the Alexandria database | GGA-PBE | relaxed; symmetry = Cm, No. 8; final energy = -37.21 eV per cell; energy of formation from the pure elements = -308 meV/atom
1.0
5.828 0.000 0.000
0.000 5.820 0.000
-2.892 0.000 5.564
Er Al Zn
2 6 2
Cartesian
0.000 0.000 0.000
2.914 2.910 0.000
0.016 0.000 4.369
1.468 1.459 2.720
1.468 4.361 2.720
2.930 2.910 4.369
4.382 1.451 2.720
4.382 4.369 2.720
0.005 2.910 1.205
2.919 0.000 1.205

=====

No. 5
Er6Al3Zn | the Alexandria database | GGA-PBE | relaxed; symmetry = P2_1/m, No. 11; final energy = -85.51 eV per cell; energy of formation from the pure elements = -288 meV/atom
1.0
8.902 0.000 0.000
0.000 5.080 0.000
-3.674 0.000 10.712
Er Al Zn
12 6 2
Cartesian
-1.223 1.270 4.431
0.839 3.810 1.780
2.255 1.270 0.000
0.056 3.810 8.713
2.002 1.270 3.639
1.189 1.270 6.730
4.039 3.810 3.982
3.226 3.810 7.073
5.172 1.270 1.999
2.973 3.810 10.712
4.389 1.270 8.932
6.451 3.810 6.281
-2.964 3.810 9.380
-1.648 1.270 7.704
0.699 3.810 4.986
4.529 1.270 5.726
6.876 3.810 3.008
8.192 1.270 1.332
3.740 3.810 1.051
1.488 1.270 9.661

=====

No. 6
ErAlZn | the Alexandria database | GGA-PBE | relaxed; symmetry = P6_3/mmc, No. 194; final energy = -21.84 eV per cell; energy of formation from the pure elements = -446 meV/atom
1.0
4.459 0.000 0.000
-2.230 3.862 0.000
0.000 0.000 7.077
Er Al Zn
2 2 2
Cartesian
0.000 0.000 0.000
0.000 0.000 3.539
0.000 2.575 1.769
2.230 1.287 5.308
0.000 2.575 5.308
2.230 1.287 1.769

=====

Question: energy of formation from the pure elements of number 2 (Er8AlZn2)?
Answer: -104 meV/atom